Tb2Pm2DyY | PBE-GGA | relaxed

Summary:
Total magnetic moment: 0.0 μB/f.u.

Cell lengths 7.040, 5.662, 9.811 Å; angles 90.00, 90.00, 90.00 degrees
Space group Pmma (No. 51)
Unique sites:
1 Tb 0.250 0.000 0.163 (multiplicity 2)
2 Tb 0.250 0.500 0.670 (multiplicity 2)
3 Pm 0.000 0.500 0.000 (multiplicity 2)
4 Pm 0.250 0.000 0.825 (multiplicity 2)
5 Dy 0.250 0.500 0.340 (multiplicity 2)
6 Y 0.000 0.000 0.500 (multiplicity 2)



TiReNi | PBE-GGA | relaxed

Summary:
Energy above the most stable polymorph in this dataset: 82 meV per atom
Total magnetic moment: 0.0 μB/f.u.

Cell lengths 4.237, 4.384, 5.003 Å; angles 90.00, 114.99, 90.00 degrees
Space group Pm (No. 6)
Unique sites:
1 Ti 0.000 0.000 0.000 (multiplicity 1)
2 Ti 0.184 0.500 0.364 (multiplicity 1)
3 Re 0.334 0.000 0.667 (multiplicity 1)
4 Re 0.672 0.000 0.343 (multiplicity 1)
5 Ni 0.514 0.500 0.022 (multiplicity 1)
6 Ni 0.848 0.500 0.689 (multiplicity 1)



Sr3Tl3Sn | PBE-GGA | relaxed

Summary:
Total magnetic moment: 0.0 μB/f.u.

Cell lengths 12.545, 4.729, 17.331 Å; angles 90.00, 107.84, 90.00 degrees
Space group C2/m (No. 12)
Unique sites:
1 Sr 0.020 0.000 0.380 (multiplicity 4)
2 Sr 0.109 0.000 0.926 (multiplicity 4)
3 Sr 0.234 0.000 0.227 (multiplicity 4)
4 Tl 0.009 0.500 0.227 (multiplicity 4)
5 Tl 0.113 0.500 0.076 (multiplicity 4)
6 Tl 0.148 0.500 0.529 (multiplicity 4)
7 Sn 0.232 0.500 0.369 (multiplicity 4)



La2AlGa4 | PBE-GGA | relaxed

Summary:
Total magnetic moment: 0.0 μB/f.u.

Cell lengths 4.816, 4.816, 15.546 Å; angles 90.00, 90.00, 90.00 degrees
Space group I4/mmm (No. 139)
Unique sites:
1 La 0.000 0.000 0.139 (multiplicity 4)
2 Al 0.000 0.000 0.500 (multiplicity 2)
3 Ga 0.000 0.000 0.336 (multiplicity 4)
4 Ga 0.000 0.500 0.000 (multiplicity 4)



ZrTlHgB2 | PBE-GGA | relaxed

Summary:
Total magnetic moment: 0.0 μB/f.u.

Cell lengths 4.268, 4.268, 5.730 Å; angles 90.00, 90.00, 90.00 degrees
Space group P4/mmm (No. 123)
Unique sites:
1 Zr 0.000 0.000 0.000 (multiplicity 1)
2 Tl 0.500 0.500 0.000 (multiplicity 1)
3 Hg 0.000 0.000 0.500 (multiplicity 1)
4 B 0.000 0.500 0.500 (multiplicity 2)



Pr2LuPu | PBE-GGA | relaxed

Summary:
Energy above the most stable polymorph in this dataset: 96 meV per atom
Total magnetic moment: 7.6 μB/f.u.

Cell lengths 8.047, 8.047, 8.047 Å; angles 90.00, 90.00, 90.00 degrees
Space group Fm-3m (No. 225)
Unique sites:
1 Pr 0.250 0.250 0.250 (multiplicity 8)
2 Lu 0.000 0.000 0.000 (multiplicity 4)
3 Pu 0.000 0.000 0.500 (multiplicity 4)



| no. | E (eV/atom) | theoretical density (g/cm³) | energy relative to the elements (meV per atom) |
| --- | --- | --- | --- |
| 1 | -4.9119 | 7.3 | 59 |
| 2 | -8.8647 | 11.5 | -157 |
| 3 | -2.7230 | 6.8 | -416 |
| 4 | -3.9074 | 5.4 | -235 |
| 5 | -3.4110 | 8.2 | 1503 |
| 6 | -6.8882 | 8.9 | 215 |